[1]
LiIn2Hg | meta-GGA SCAN | single point on PBEsol structure

Structure (CIF):
```
data_LiIn2Hg
_chemical_formula_sum 'Li1 In2 Hg1'
_space_group_name_H-M_alt 'P 1'
_space_group_IT_number 1
_cell_length_a 5.366
_cell_length_b 5.366
_cell_length_c 5.366
_cell_angle_alpha 131.04
_cell_angle_beta 131.04
_cell_angle_gamma 71.76
loop_
_space_group_symop_operation_xyz
'x,y,z'
loop_
_atom_site_label
_atom_site_fract_x
_atom_site_fract_y
_atom_site_fract_z
Li1 0.000 0.000 0.000
In1 0.250 0.750 0.500
In2 0.500 0.500 0.000
Hg1 0.750 0.250 0.500
```

Output
Final energy ... -138.12 eV/cell

=====

[2]
Co6ReNi | meta-GGA SCAN | single point on PBEsol structure

Structure (CIF):
```
data_Co6ReNi
_chemical_formula_sum 'Co24 Re4 Ni4'
_space_group_name_H-M_alt 'P 1'
_space_group_IT_number 1
_cell_length_a 6.057
_cell_length_b 6.057
_cell_length_c 9.901
_cell_angle_alpha 90.00
_cell_angle_beta 90.00
_cell_angle_gamma 109.63
loop_
_space_group_symop_operation_xyz
'x,y,z'
loop_
_atom_site_label
_atom_site_fract_x
_atom_site_fract_y
_atom_site_fract_z
Co1 0.000 0.000 0.000
Co2 0.000 0.000 0.500
Co3 0.121 0.373 0.123
Co4 0.121 0.373 0.877
Co5 0.125 0.373 0.375
Co6 0.125 0.373 0.625
Co7 0.248 0.752 0.248
Co8 0.248 0.752 0.752
Co9 0.373 0.121 0.123
Co10 0.373 0.121 0.877
Co11 0.373 0.125 0.375
Co12 0.373 0.125 0.625
Co13 0.500 0.500 0.000
Co14 0.500 0.500 0.500
Co15 0.627 0.875 0.375
Co16 0.627 0.875 0.625
Co17 0.627 0.879 0.123
Co18 0.627 0.879 0.877
Co19 0.752 0.248 0.248
Co20 0.752 0.248 0.752
Co21 0.875 0.627 0.375
Co22 0.875 0.627 0.625
Co23 0.879 0.627 0.123
Co24 0.879 0.627 0.877
Re1 0.254 0.746 0.500
Re2 0.500 0.500 0.247
Re3 0.500 0.500 0.753
Re4 0.746 0.254 0.500
Ni1 0.000 0.000 0.246
Ni2 0.000 0.000 0.754
Ni3 0.252 0.748 0.000
Ni4 0.748 0.252 0.000
```

Output
Final energy ... -758.68 eV/cell

=====

[3]
CoPtSe | meta-GGA SCAN | single point on PBEsol structure

Structure (CIF):
```
data_CoPtSe
_chemical_formula_sum 'Co1 Pt1 Se1'
_space_group_name_H-M_alt 'P 1'
_space_group_IT_number 1
_cell_length_a 4.987
_cell_length_b 4.987
_cell_length_c 4.987
_cell_angle_alpha 146.08
_cell_angle_beta 142.43
_cell_angle_gamma 51.51
loop_
_space_group_symop_operation_xyz
'x,y,z'
loop_
_atom_site_label
_atom_site_fract_x
_atom_site_fract_y
_atom_site_fract_z
Co1 0.000 0.000 0.000
Pt1 0.316 0.316 0.000
Se1 0.607 0.607 0.000
```

Output
E_form (uncorrected) ... 346 meV/atom

=====

[4]
Co2CuOs | meta-GGA SCAN | single point on PBEsol structure

Structure (CIF):
```
data_Co2CuOs
_chemical_formula_sum 'Co2 Cu1 Os1'
_space_group_name_H-M_alt 'P 1'
_space_group_IT_number 1
_cell_length_a 2.520
_cell_length_b 2.520
_cell_length_c 8.413
_cell_angle_alpha 90.00
_cell_angle_beta 90.00
_cell_angle_gamma 115.33
loop_
_space_group_symop_operation_xyz
'x,y,z'
loop_
_atom_site_label
_atom_site_fract_x
_atom_site_fract_y
_atom_site_fract_z
Co1 0.000 0.000 0.000
Co2 0.500 0.500 0.230
Cu1 0.000 0.000 0.475
Os1 0.500 0.500 0.743
```

Output
Final energy ... -120.50 eV/cell

=====

[5]
PaCdPt2 | meta-GGA SCAN | single point on PBEsol structure

Structure (CIF):
```
data_PaCdPt2
_chemical_formula_sum 'Pa1 Cd1 Pt2'
_space_group_name_H-M_alt 'P 1'
_space_group_IT_number 1
_cell_length_a 4.772
_cell_length_b 4.772
_cell_length_c 4.772
_cell_angle_alpha 60.00
_cell_angle_beta 60.00
_cell_angle_gamma 60.00
loop_
_space_group_symop_operation_xyz
'x,y,z'
loop_
_atom_site_label
_atom_site_fract_x
_atom_site_fract_y
_atom_site_fract_z
Pa1 0.000 0.000 0.000
Cd1 0.500 0.500 0.500
Pt1 0.250 0.250 0.250
Pt2 0.750 0.750 0.750
```

Output
Final energy ... -273.70 eV/cell

=====

[6]
BeTlCu | meta-GGA SCAN | single point on PBEsol structure

Structure (CIF):
```
data_BeTlCu
_chemical_formula_sum 'Be1 Tl1 Cu1'
_space_group_name_H-M_alt 'P 1'
_space_group_IT_number 1
_cell_length_a 4.132
_cell_length_b 4.132
_cell_length_c 4.132
_cell_angle_alpha 60.00
_cell_angle_beta 60.00
_cell_angle_gamma 60.00
loop_
_space_group_symop_operation_xyz
'x,y,z'
loop_
_atom_site_label
_atom_site_fract_x
_atom_site_fract_y
_atom_site_fract_z
Be1 0.000 0.000 0.000
Tl1 0.500 0.500 0.500
Cu1 0.750 0.750 0.750
```

Output
Final energy ... -90.55 eV/cell

=====

[7]
Zr2FeSi | meta-GGA SCAN | single point on PBEsol structure

Structure (CIF):
```
data_Zr2FeSi
_chemical_formula_sum 'Zr2 Fe1 Si1'
_space_group_name_H-M_alt 'P 1'
_space_group_IT_number 1
_cell_length_a 3.752
_cell_length_b 5.263
_cell_length_c 5.263
_cell_angle_alpha 39.93
_cell_angle_beta 90.00
_cell_angle_gamma 90.00
loop_
_space_group_symop_operation_xyz
'x,y,z'
loop_
_atom_site_label
_atom_site_fract_x
_atom_site_fract_y
_atom_site_fract_z
Zr1 0.000 0.000 0.000
Zr2 0.500 0.287 0.287
Fe1 0.000 0.728 0.728
Si1 0.500 0.575 0.575
```

Output
E_form (uncorrected) ... -512 meV/atom

=====

[8]
Te4AsCl | meta-GGA SCAN | single point on PBEsol structure

Structure (CIF):
```
data_Te4AsCl
_chemical_formula_sum 'Te4 As1 Cl1'
_space_group_name_H-M_alt 'P 1'
_space_group_IT_number 1
_cell_length_a 6.109
_cell_length_b 6.109
_cell_length_c 6.109
_cell_angle_alpha 60.00
_cell_angle_beta 60.00
_cell_angle_gamma 60.00
loop_
_space_group_symop_operation_xyz
'x,y,z'
loop_
_atom_site_label
_atom_site_fract_x
_atom_site_fract_y
_atom_site_fract_z
Te1 0.124 0.124 0.124
Te2 0.124 0.124 0.627
Te3 0.124 0.627 0.124
Te4 0.627 0.124 0.124
As1 0.750 0.750 0.750
Cl1 0.500 0.500 0.500
```

Output
E_form (uncorrected) ... 444 meV/atom

=====

Calculated volume, record by record: 86.0; 342.2; 42.0; 48.3; 76.9; 49.9; 66.7; 161.2 Å³ per cell